(1)
First-principles (GGA-PBEsol) data for an optimized crystal structure of CaAgRu2, as listed in Alexandria via LeMat-Bulk.

Cell: 2.6949 2.6949 8.9573 Å, 90.00 90.00 90.00°
With the nearest neighbours (Å) after each atom.
Space group P4/mmm (No. 123)
Inequivalent atoms, fractional coordinates:
Ca (0.0000, 0.0000, 0.0000) x1  4 Ca 2.69
Ag (0.0000, 0.0000, 0.5000) x1  4 Ag 2.69, 8 Ru 2.85
Ru (0.5000, 0.5000, 0.2638) x2  4 Ru 2.69, 4 Ag 2.85

Output
M_tot in μB/atom: 0.14

***

(2)
First-principles (GGA-PBEsol) data for an optimized crystal structure of CaAgRu2, as listed in Alexandria via LeMat-Bulk.

Cell: 3.8437 3.8437 4.4479 Å, 90.00 90.00 90.00°
With the nearest neighbours (Å) after each atom.
Space group P4/mmm (No. 123)
Inequivalent atoms, fractional coordinates:
Ca (0.0000, 0.0000, 0.0000) x1  4 Ag 2.72, 8 Ru 2.94
Ag (0.5000, 0.5000, 0.0000) x1  4 Ca 2.72, 8 Ru 2.94
Ru (0.0000, 0.5000, 0.5000) x2  4 Ru 2.72, 4 Ag 2.94, 4 Ca 2.94

Output
M_tot in μB/atom: 0.00

***

Stability, highest: (2)

***

(1)
First-principles (GGA-PBEsol) data for an optimized crystal structure of Ca3AgS, as listed in Alexandria via LeMat-Bulk.

Cell: 5.4998 5.4998 5.4998 Å, 90.00 90.00 90.00°
With the nearest neighbours (Å) after each atom.
Space group Pm-3m (No. 221)
Inequivalent atoms, fractional coordinates:
Ca (0.0000, 0.0000, 0.5000) x3  2 Ag 2.75
Ag (0.0000, 0.0000, 0.0000) x1  6 Ca 2.75
S (0.5000, 0.5000, 0.5000) x1  12 Ca 3.89

Output
M_tot in μB/atom: 0.00

***

(2)
First-principles (GGA-PBEsol) data for an optimized crystal structure of Ca3AgS, as listed in Alexandria via LeMat-Bulk.

Cell: 5.2962 5.2962 5.2962 Å, 90.00 90.00 90.00°
With the nearest neighbours (Å) after each atom.
Space group Pm-3m (No. 221)
Inequivalent atoms, fractional coordinates:
Ca (0.0000, 0.0000, 0.5000) x3  2 S 2.65
Ag (0.5000, 0.5000, 0.5000) x1  12 Ca 3.74
S (0.0000, 0.0000, 0.0000) x1  6 Ca 2.65

Output
M_tot in μB/atom: 0.00

***

Stability, highest: (2)

***

(1)
First-principles (GGA-PBEsol) data for an optimized crystal structure of Ca2Si2Ag, as listed in Alexandria via LeMat-Bulk.

Cell: 4.7243 4.7243 11.3531 Å, 90.00 90.00 90.00°
With the nearest neighbours (Å) after each atom.
Space group I4/mmm (No. 139)
Inequivalent atoms, fractional coordinates:
Ca (0.0000, 0.5000, 0.2500) x4  4 Si 2.94
Si (0.0000, 0.0000, 0.0962) x4  1 Si 2.18
Ag (0.0000, 0.0000, 0.5000) x2  8 Si 3.51, 8 Ca 3.69

Output
M_tot in μB/atom: 0.00

***

(2)
First-principles (GGA-PBEsol) data for an optimized crystal structure of Ca2Si2Ag, as listed in Alexandria via LeMat-Bulk.

Cell: 6.8132 6.8132 4.5387 Å, 90.00 90.00 90.00°
With the nearest neighbours (Å) after each atom.
Space group P4/mbm (No. 127)
Inequivalent atoms, fractional coordinates:
Ca (0.1701, 0.3299, 0.0000) x4  6 Si 2.98-3.06, 1 Ca 3.28
Si (0.1290, 0.6290, 0.5000) x4  1 Si 2.49, 2 Ag 2.68
Ag (0.0000, 0.0000, 0.5000) x2  4 Si 2.68

Output
M_tot in μB/atom: 0.00

***

Stability, highest: (2)

***

(1)
First-principles (GGA-PBEsol) data for an optimized crystal structure of Sr2CaAg, as listed in Alexandria via LeMat-Bulk.

Cell: 5.4915 5.5005 9.7743 Å, 90.00 90.00 90.00°
With the nearest neighbours (Å) after each atom.
Space group Cmmm (No. 65)
Inequivalent atoms, fractional coordinates:
Sr (0.0000, 0.0000, 0.1910) x4  4 Ag 3.32
Ca (0.0000, 0.5000, 0.5000) x2  4 Ca 3.89, 8 Sr 4.08
Ag (0.0000, 0.5000, 0.0000) x2  8 Sr 3.32

Output
M_tot in μB/atom: 0.00

***

(2)
First-principles (GGA-PBEsol) data for an optimized crystal structure of Sr2CaAg, as listed in Alexandria via LeMat-Bulk.

Cell: 3.8645 3.8645 9.8533 Å, 90.00 90.00 90.00°
With the nearest neighbours (Å) after each atom.
Space group P4mm (No. 99)
Inequivalent atoms, fractional coordinates:
Sr (0.0000, 0.0000, 0.0000) x1  4 Ag 3.36, 1 Ca 3.57
Sr (0.5000, 0.5000, 0.3325) x1  8 Sr 3.86-4.27, 4 Ca 4.06
Ca (0.0000, 0.0000, 0.6375) x1  4 Ag 3.18
Ag (0.5000, 0.5000, 0.8021) x1  4 Ca 3.18, 4 Sr 3.36

Output
M_tot in μB/atom: 0.00

***

(3)
First-principles (GGA-PBEsol) data for an optimized crystal structure of Sr2CaAg, as listed in Alexandria via LeMat-Bulk.

Cell: 3.9328 6.0011 12.5473 Å, 90.00 90.00 90.00°
With the nearest neighbours (Å) after each atom.
Space group Imm2 (No. 44)
Inequivalent atoms, fractional coordinates:
Sr (0.0000, 0.0000, 0.0000) x2  2 Ag 3.21
Sr (0.0000, 0.5000, 0.1945) x2  4 Ag 3.59, 2 Ca 3.85, 4 Sr 3.87-3.93
Ca (0.0000, 0.0000, 0.3863) x2  2 Ag 3.03
Ag (0.0000, 0.5000, 0.7021) x2  2 Ca 3.03, 2 Sr 3.21

Output
M_tot in μB/atom: 0.00

***

Stability, highest: (2)